This record from Alexandria via LeMat-Bulk describes a relaxed Y2RhW crystal. The functional is PBE-GGA.

```
Y2RhW
1.0
1.6289 0.9405 9.2105
-1.6289 0.9405 9.2105
0.0000 -1.8809 9.2105
Y Rh W
2 1 1
Cartesian
0.0000 0.0000 6.7644 Y
0.0000 0.0000 20.8672 Y
0.0000 0.0000 13.8158 Rh
0.0000 0.0000 0.0000 W
```

Output
For the spin magnetization, the calculation gives 0.000 μB per formula unit. The value obtained for the distance to the lowest polymorph of the same formula is 289 meV per atom. Its energy of formation from the pure elements is 0.263 eV per atom. The value obtained for the raw total energy is -8.05 eV per atom.



This record from Alexandria via LeMat-Bulk describes a relaxed Li2TbCd2In2 crystal. The functional is PBE-GGA.

```
Li2TbCd2In2
1.0
4.3136 -2.4201 0.0000
4.3136 2.4201 0.0000
-2.2629 0.0000 7.3817
Li Tb Cd In
2 1 2 2
Cartesian
0.1780 0.0000 3.1965 Li
6.1864 0.0000 4.1852 Li
0.0000 0.0000 0.0000 Tb
0.5776 0.0000 5.9761 Cd
5.7868 0.0000 1.4057 Cd
2.9444 0.0000 2.0519 In
3.4200 0.0000 5.3299 In
```

Output
For the spin magnetization, the calculation gives 0.000 μB per formula unit. Its energy of formation from the pure elements is -0.296 eV per atom. The value obtained for the raw total energy is -2.55 eV per atom.



> What is the formula in the first record?

Y2RhW



Repeat the first record exactly.
This record from Alexandria via LeMat-Bulk describes a relaxed Y2RhW crystal. The functional is PBE-GGA.

```
Y2RhW
1.0
1.6289 0.9405 9.2105
-1.6289 0.9405 9.2105
0.0000 -1.8809 9.2105
Y Rh W
2 1 1
Cartesian
0.0000 0.0000 6.7644 Y
0.0000 0.0000 20.8672 Y
0.0000 0.0000 13.8158 Rh
0.0000 0.0000 0.0000 W
```

Output
For the spin magnetization, the calculation gives 0.000 μB per formula unit. The value obtained for the distance to the lowest polymorph of the same formula is 289 meV per atom. Its energy of formation from the pure elements is 0.263 eV per atom. The value obtained for the raw total energy is -8.05 eV per atom.



> The lowest energy of formation from the pure elements belongs to which entry?

Li2TbCd2In2



> Among the records above, which one has the highest raw total energy?

Li2TbCd2In2